(1)
{"formula": "Nb2CrCd2S6", "functional": "GGA-PBE", "state": "relaxed", "cell": [[2.917, -5.059, 0.000], [2.917, 5.059, 0.000], [-1.991, 0.000, 7.538]], "species": ["Nb", "Nb", "Cr", "Cd", "Cd", "S", "S", "S", "S", "S", "S"], "frac_coords": [[0.172, 0.828, 0.000], [0.828, 0.172, 0.000], [0.500, 0.500, 0.000], [0.334, 0.666, 0.500], [0.666, 0.334, 0.500], [0.107, 0.433, 0.795], [0.247, 0.247, 0.196], [0.433, 0.107, 0.795], [0.567, 0.893, 0.205], [0.753, 0.753, 0.804], [0.893, 0.567, 0.205]], "formation_energy_uncorrected_ev_per_atom": -0.66, "total_energy_ev_per_cell": -63.6}


(2)
{"formula": "NbCrCdSn2", "functional": "GGA-PBE", "state": "relaxed", "cell": [[5.247, 0.000, 0.000], [0.000, 5.247, 0.000], [0.000, 0.000, 5.229]], "species": ["Nb", "Cr", "Cd", "Sn", "Sn"], "frac_coords": [[0.000, 0.000, 0.000], [0.500, 0.500, 0.000], [0.000, 0.000, 0.500], [0.000, 0.500, 0.500], [0.500, 0.000, 0.500]], "total_energy_ev_per_cell": -18.8}